# 1
The following is a PBE calculation of PmEuZnCo after structural relaxation, from Alexandria.

Its mass density is 7.7 g/cm³. Its formation energy is -28 meV per atom.

The space group is F-43m (No. 216) and the conventional cell measures 7.1348, 7.1348 and 7.1348 Å, with angles of 90.00, 90.00 and 90.00 degrees. Symmetry generates all atoms from Pm at (0.0000, 0.0000, 0.0000), Eu at (0.0000, 0.0000, 0.5000), Zn at (0.2500, 0.2500, 0.7500) and Co at (0.2500, 0.2500, 0.2500).

# 2
The following is a PBE calculation of DyHo3Pb4 after structural relaxation, from Alexandria.

Its mass density is 10.9 g/cm³. Its formation energy is -432 meV per atom.

The space group is Pmn2_1 (No. 31) and the conventional cell measures 11.1252, 6.3918 and 6.3928 Å, with angles of 90.00, 90.00 and 90.00 degrees. Symmetry generates all atoms from Dy at (0.0000, 0.0004, 0.0000), Ho at (0.0000, 0.5004, 0.4997), Ho at (0.2501, 0.2505, 0.2503), Pb at (0.0000, 0.0004, 0.4999), Pb at (0.0000, 0.5002, 0.9997) and Pb at (0.2501, 0.2496, 0.7503).

# 3
The following is a PBE calculation of AcHgTeO6 after structural relaxation, from Alexandria.

Its mass density is 7.4 g/cm³. Its formation energy (no corrections) is -1.357 eV/atom.

The space group is P4_2nm (No. 102) and the conventional cell measures 5.2823, 5.2823 and 10.5223 Å, with angles of 90.00, 90.00 and 90.00 degrees. Symmetry generates all atoms from Ac at (0.0000, 0.0000, 0.0000), Hg at (0.0000, 0.0000, 0.3301), Te at (0.0000, 0.0000, 0.6610), O at (0.1740, 0.1740, 0.5224), O at (0.1808, 0.1808, 0.7956) and O at (0.2386, 0.2386, 0.1637).

# 4
The following is a PBE calculation of Pm2Zn3Ga after structural relaxation, from Alexandria.

Its mass density is 6.9 g/cm³. Its polymorph energy (0 for the lowest one) is 49.1 meV/atom. Its formation energy is -405 meV per atom.

The space group is Imm2 (No. 44) and the conventional cell measures 4.0979, 4.3188 and 15.2274 Å, with angles of 90.00, 90.00 and 90.00 degrees. Symmetry generates all atoms from Pm at (0.0000, 0.0000, 0.0000), Pm at (0.0000, 0.5000, 0.2591), Zn at (0.0000, 0.0000, 0.5893), Zn at (0.0000, 0.5000, 0.6710), Zn at (0.0000, 0.5000, 0.8355) and Ga at (0.0000, 0.0000, 0.4243).

# 5
The following is a PBE calculation of GdPd3 after structural relaxation, from Alexandria.

Its mass density is 11.1 g/cm³. Its formation energy is -832 meV per atom.

The space group is Pm-3m (No. 221) and the conventional cell measures 4.1491, 4.1491 and 4.1491 Å, with angles of 90.00, 90.00 and 90.00 degrees. Symmetry generates all atoms from Gd at (0.0000, 0.0000, 0.0000) and Pd at (0.0000, 0.5000, 0.5000).

# 6
The following is a PBE calculation of ZrFe2Ni after structural relaxation, from Alexandria.

Its mass density is 7.3 g/cm³. Its formation energy is 251 meV per atom.

The space group is I-42d (No. 122) and the conventional cell measures 3.6108, 3.6108 and 18.2991 Å, with angles of 90.00, 90.00 and 90.00 degrees. Symmetry generates all atoms from Zr at (0.0000, 0.0000, 0.0000), Fe at (0.2258, 0.2500, 0.6250) and Ni at (0.0000, 0.0000, 0.5000).

# 7
The following is a PBE calculation of HoThCoRh after structural relaxation, from Alexandria.

Its mass density is 11.2 g/cm³. Its formation energy is -470 meV per atom.

The space group is F-43m (No. 216) and the conventional cell measures 6.9128, 6.9128 and 6.9128 Å, with angles of 90.00, 90.00 and 90.00 degrees. Symmetry generates all atoms from Ho at (0.0000, 0.0000, 0.0000), Th at (0.0000, 0.0000, 0.5000), Co at (0.2500, 0.2500, 0.7500) and Rh at (0.2500, 0.2500, 0.2500).

# 8
The following is a PBE calculation of ScWCl2 after structural relaxation, from Alexandria.

Its mass density is 5.7 g/cm³. Its formation energy (no corrections) is -0.076 eV/atom. Its polymorph energy (0 for the lowest one) is 391.9 meV/atom.

The space group is R-3m (No. 166, hexagonal axes) and the conventional cell measures 3.1024, 3.1024 and 31.1575 Å, with angles of 90.00, 90.00 and 120.00 degrees. Symmetry generates all atoms from Sc at (0.0000, 0.0000, 0.0000), W at (0.0000, 0.0000, 0.5000) and Cl at (0.0000, 0.0000, 0.2773).

# 9
The following is a PBE calculation of K3Fe after structural relaxation, from Alexandria.

Its mass density is 1.5 g/cm³. Its polymorph energy (0 for the lowest one) is 69.1 meV/atom. Its formation energy is 822 meV per atom.

The space group is P4/mmm (No. 123) and the conventional cell measures 5.8402, 5.8402 and 5.6678 Å, with angles of 90.00, 90.00 and 90.00 degrees. Symmetry generates all atoms from K at (0.0000, 0.0000, 0.0000), K at (0.0000, 0.5000, 0.5000) and Fe at (0.5000, 0.5000, 0.0000).

# 10
The following is a PBE calculation of ZnCd2P after structural relaxation, from Alexandria.

Its mass density is 6.4 g/cm³. Its polymorph energy (0 for the lowest one) is 75.1 meV/atom. Its formation energy is 173 meV per atom.

The space group is Imm2 (No. 44) and the conventional cell measures 3.5912, 3.8549 and 12.1268 Å, with angles of 90.00, 90.00 and 90.00 degrees. Symmetry generates all atoms from Zn at (0.0000, 0.0000, 0.0000), Cd at (0.0000, 0.0000, 0.5956), Cd at (0.0000, 0.5000, 0.7876) and P at (0.0000, 0.5000, 0.3636).

# 11
The following is a PBE calculation of Ce2SmPaSb4 after structural relaxation, from Alexandria.

Its mass density is 7.6 g/cm³. Its formation energy (no corrections) is -0.927 eV/atom.

The space group is P2/m (No. 10) and the conventional cell measures 7.7170, 4.4543 and 7.7271 Å, with angles of 90.00, 109.36 and 90.00 degrees. Symmetry generates all atoms from Ce at (0.0000, 0.0000, 0.0000), Ce at (0.5000, 0.5000, 0.0000), Sm at (0.0000, 0.5000, 0.5000), Pa at (0.5000, 0.0000, 0.5000), Sb at (0.2528, 0.0000, 0.7459) and Sb at (0.2555, 0.5000, 0.2566).

# 12
The following is a PBE calculation of LiAgF2 after structural relaxation, from Alexandria.

Its mass density is 5.0 g/cm³. Its formation energy (no corrections) is -1.875 eV/atom. Its polymorph energy (0 for the lowest one) is 82.8 meV/atom.

The space group is I4_1/amd (No. 141, origin choice 2) and the conventional cell measures 4.7174, 4.7174 and 9.2075 Å, with angles of 90.00, 90.00 and 90.00 degrees. Symmetry generates all atoms from Li at (0.0000, 0.2500, 0.3750), Ag at (0.0000, 0.2500, 0.8750) and F at (0.0000, 0.2500, 0.1651).

Repeat the fifth record exactly.
The following is a PBE calculation of GdPd3 after structural relaxation, from Alexandria.

Its mass density is 11.1 g/cm³. Its formation energy is -832 meV per atom.

The space group is Pm-3m (No. 221) and the conventional cell measures 4.1491, 4.1491 and 4.1491 Å, with angles of 90.00, 90.00 and 90.00 degrees. Symmetry generates all atoms from Gd at (0.0000, 0.0000, 0.0000) and Pd at (0.0000, 0.5000, 0.5000).